The following is a PBE+U calculation of a geometry-optimized SrCrAgF6 structure, from Alexandria.

```
SrCrAgF6
1.0
6.0375 0.0000 0.0000
-3.0187 5.2286 0.0000
0.0000 0.0000 8.9942
Cr F Ag Sr
2 12 2 2
Cartesian
0.0000 3.4858 6.7456
3.0187 1.7429 2.2485
3.8314 0.3195 3.3146
-0.8127 4.9091 5.6796
0.8127 4.9091 7.8117
1.6390 3.4779 5.6796
-0.8263 2.0703 5.6796
2.1924 3.1584 1.1825
1.3797 1.7508 3.3146
2.2061 0.3195 1.1825
0.8263 2.0703 7.8117
-1.6390 3.4779 7.8117
3.8451 3.1584 3.3146
4.6578 1.7508 1.1825
0.0000 0.0000 0.0000
0.0000 0.0000 4.4971
0.0000 3.4858 2.2485
3.0187 1.7429 6.7456
```

Summary:
SG: No. 163
E_tot: -95.730 eV/cell